[1]
A plane-wave DFT calculation with PBE was carried out for Al4CdAu after structural relaxation.

Cell: 5.4103 5.4103 5.4103 Å, 60.00 60.00 60.00°
Sites, in units of the cell vectors:
Al  0.8755  0.3748  0.3748
Al  0.3748  0.8755  0.3748
Al  0.3748  0.3748  0.3748
Al  0.3748  0.3748  0.8755
Cd  0.0000  0.0000  0.0000
Au  0.7500  0.7500  0.7500

[2]
A plane-wave DFT calculation with PBE was carried out for Al2CdAu after structural relaxation.

Cell: 4.3498 3.4386 5.3752 Å, 71.26 90.00 90.00°
Sites, in units of the cell vectors:
Al  0.5000  0.4455  0.2313
Al  0.0000  0.0386  0.0505
Cd  0.5000  0.7075  0.7076
Au  0.0000  0.3084  0.5106

[3]
A plane-wave DFT calculation with PBE was carried out for Al2CdAu after structural relaxation.

Cell: 4.8125 4.8125 3.3812 Å, 90.00 90.00 108.94°
Sites, in units of the cell vectors:
Cd  0.0000  0.5000  0.5000
Al  0.0000  0.0000  0.0000
Al  0.5000  0.5000  0.0000
Au  0.5000  0.0000  0.5000

[4]
A plane-wave DFT calculation with PBE was carried out for AlCdAu3 after structural relaxation.

Cell: 5.2120 5.2120 5.2120 Å, 90.00 90.00 90.00°
Sites, in units of the cell vectors:
Al  0.5000  0.5000  0.5000
Cd  0.0000  0.0000  0.0000
Au  0.0000  0.5000  0.0000
Au  0.0000  0.0000  0.5000
Au  0.5000  0.0000  0.0000

relative energy among the computed polymorphs = 4.41 eV/f.u.

[5]
A plane-wave DFT calculation with PBE was carried out for Al2CdAu after structural relaxation.

Cell: 2.9810 2.9810 8.2949 Å, 90.00 90.00 91.69°
Sites, in units of the cell vectors:
Al  0.0000  0.0000  0.0197
Al  0.5000  0.5000  0.2635
Au  0.0000  0.0000  0.4720
Cd  0.5000  0.5000  0.7448

[6]
A plane-wave DFT calculation with PBE was carried out for Al2CdAu after structural relaxation.

Cell: 3.0280 4.0733 5.9606 Å, 90.00 90.00 90.00°
Sites, in units of the cell vectors:
Cd  0.5000  0.5000  0.7500
Al  0.0000  0.0000  0.4838
Al  0.0000  0.0000  0.0162
Au  0.5000  0.5000  0.2500

[7]
A plane-wave DFT calculation with PBE was carried out for Al2CdAu after structural relaxation.

Cell: 4.3714 3.4911 5.4074 Å, 74.56 90.00 90.00°
Sites, in units of the cell vectors:
Al  0.0000  0.1685  0.0069
Al  0.0000  0.3315  0.4931
Au  0.5000  0.2500  0.2500
Cd  0.5000  0.7500  0.7500

[8]
A plane-wave DFT calculation with PBE was carried out for AlCd4Au5 after structural relaxation.

Cell: 3.7402 3.7402 15.0932 Å, 97.12 97.12 90.00°
Sites, in units of the cell vectors:
Au  0.0847  0.0847  0.1694
Au  0.5000  0.5000  0.0000
Au  0.2788  0.2788  0.5576
Au  0.7212  0.7212  0.4424
Au  0.9153  0.9153  0.8306
Cd  0.3804  0.3804  0.7607
Cd  0.6196  0.6196  0.2393
Cd  0.8179  0.8179  0.6358
Cd  0.1821  0.1821  0.3642
Al  0.0000  0.0000  0.0000

relative energy among the computed polymorphs = 0.33 eV/f.u.

In the order shown, the computed total magnetic moment values come out to 0.00 0.00 0.00 0.00 0.00 0.00 0.00 0.00 μB per cell.
In the order shown, the computed uncorrected energy values come out to -0.1112 -0.1097 -0.1077 -0.0826 -0.1098 -0.1083 -0.1087 -0.0908 Ha/atom.
In the order shown, the computed energy of formation values come out to 0.17 -0.07 -0.01 0.65 -0.07 -0.03 -0.04 -0.09 eV per atom.